Entry 1:
ErCd8Ag2 | GGA-PBE | optimized geometry

The total magnetic moment comes out at 0.00 μB per atom. As for the energy relative to the elements: 0.0050 eV per atom. For the total energy, the calculation gives -1.594 eV/atom. The energy above the most stable polymorph in this dataset is 50 meV/atom.

Cell and atoms, written as POSCAR:
```
ErCd8Ag2
1.0
4.054 -6.344 0.000
4.054 6.344 0.000
-1.707 0.000 5.021
Er Cd Ag
1 8 2
direct
0.000 0.000 0.000 Er
0.085 0.319 0.632 Cd
0.245 0.755 0.000 Cd
0.319 0.085 0.632 Cd
0.401 0.401 0.196 Cd
0.599 0.599 0.804 Cd
0.681 0.915 0.368 Cd
0.755 0.245 0.000 Cd
0.915 0.681 0.368 Cd
0.308 0.692 0.500 Ag
0.692 0.308 0.500 Ag
```

=====

Entry 2:
Er5Cd6Ag | GGA-PBE | optimized geometry

The total magnetic moment comes out at 0.00 μB per atom. As for the energy relative to the elements: -0.2633 eV per atom. For the total energy, the calculation gives -2.860 eV/atom.

Cell and atoms, written as POSCAR:
```
Er5Cd6Ag
1.0
-2.566 3.713 7.720
2.566 -3.713 7.720
2.566 3.713 -7.720
Er Cd Ag
5 6 1
direct
0.000 0.000 0.000 Er
0.166 0.666 0.500 Er
0.330 0.330 0.000 Er
0.670 0.670 0.000 Er
0.834 0.334 0.500 Er
0.105 0.841 0.264 Cd
0.266 0.500 0.766 Cd
0.423 0.159 0.264 Cd
0.577 0.841 0.736 Cd
0.734 0.500 0.234 Cd
0.895 0.159 0.736 Cd
0.500 0.000 0.500 Ag
```

=====

Entry 3:
Er2Cd3Ag | GGA-PBE | optimized geometry

The total magnetic moment comes out at 0.00 μB per atom. As for the energy relative to the elements: -0.2887 eV per atom. For the total energy, the calculation gives -2.742 eV/atom. The energy above the most stable polymorph in this dataset is 0 meV/atom.

Cell and atoms, written as POSCAR:
```
Er2Cd3Ag
1.0
3.357 0.000 0.000
0.000 4.918 0.000
0.000 0.000 8.518
Er Cd Ag
2 3 1
direct
0.000 0.000 0.000 Er
0.000 0.500 0.480 Er
0.500 0.000 0.654 Cd
0.500 0.500 0.157 Cd
0.500 0.500 0.822 Cd
0.500 0.000 0.323 Ag
```

=====

Entry 4:
ErCd4Ag4 | GGA-PBE | optimized geometry

The total magnetic moment comes out at 0.00 μB per atom. As for the energy relative to the elements: -0.1063 eV per atom. For the total energy, the calculation gives -2.287 eV/atom.

Cell and atoms, written as POSCAR:
```
ErCd4Ag4
1.0
-4.864 4.864 1.975
4.864 -4.864 1.975
4.864 4.864 -1.975
Er Cd Ag
1 4 4
direct
0.000 0.000 0.000 Er
0.000 0.327 0.327 Cd
0.000 0.673 0.673 Cd
0.327 0.000 0.327 Cd
0.673 0.000 0.673 Cd
0.330 0.330 0.660 Ag
0.330 0.670 0.000 Ag
0.670 0.330 0.000 Ag
0.670 0.670 0.340 Ag
```

=====

Entry 5:
Er6Cd5Ag | GGA-PBE | optimized geometry

The total magnetic moment comes out at 0.00 μB per atom. As for the energy relative to the elements: -0.3131 eV per atom. For the total energy, the calculation gives -3.213 eV/atom.

Cell and atoms, written as POSCAR:
```
Er6Cd5Ag
1.0
5.211 0.000 0.000
0.000 7.412 0.000
-2.585 0.000 7.834
Er Cd Ag
6 5 1
direct
0.000 0.244 0.000 Er
0.000 0.756 0.000 Er
0.336 0.248 0.672 Er
0.336 0.752 0.672 Er
0.664 0.248 0.328 Er
0.664 0.752 0.328 Er
0.168 0.500 0.336 Cd
0.170 0.000 0.339 Cd
0.500 0.500 0.000 Cd
0.830 0.000 0.661 Cd
0.832 0.500 0.664 Cd
0.500 0.000 0.000 Ag
```

=====

Entry 6:
Er3Cd2Ag | GGA-PBE | optimized geometry

The total magnetic moment comes out at 0.00 μB per atom. As for the energy relative to the elements: -0.3194 eV per atom. For the total energy, the calculation gives -3.381 eV/atom.

Cell and atoms, written as POSCAR:
```
Er3Cd2Ag
1.0
3.672 0.000 0.000
0.000 3.672 0.000
0.000 0.000 11.047
Er Cd Ag
3 2 1
direct
0.000 0.000 0.000 Er
0.000 0.000 0.341 Er
0.000 0.000 0.659 Er
0.500 0.500 0.167 Cd
0.500 0.500 0.833 Cd
0.500 0.500 0.500 Ag
```

=====

Entry 7:
Er4Cd5Ag | GGA-PBE | optimized geometry

The total magnetic moment comes out at 0.00 μB per atom. As for the energy relative to the elements: -0.2604 eV per atom. For the total energy, the calculation gives -2.828 eV/atom.

Cell and atoms, written as POSCAR:
```
Er4Cd5Ag
1.0
3.650 0.000 0.000
0.000 3.650 0.000
0.000 0.000 18.232
Er Cd Ag
4 5 1
direct
0.000 0.000 0.104 Er
0.000 0.000 0.310 Er
0.000 0.000 0.690 Er
0.000 0.000 0.896 Er
0.500 0.500 0.000 Cd
0.500 0.500 0.206 Cd
0.500 0.500 0.414 Cd
0.500 0.500 0.586 Cd
0.500 0.500 0.794 Cd
0.000 0.000 0.500 Ag
```

=====

Entry 8:
Er2CdAg | GGA-PBE | optimized geometry

The total magnetic moment comes out at 0.00 μB per atom. As for the energy relative to the elements: -0.3205 eV per atom. For the total energy, the calculation gives -3.543 eV/atom.

Cell and atoms, written as POSCAR:
```
Er2CdAg
1.0
3.662 0.000 0.000
0.000 3.662 0.000
0.000 0.000 7.295
Er Cd Ag
2 1 1
direct
0.000 0.000 0.242 Er
0.000 0.000 0.758 Er
0.500 0.500 0.500 Cd
0.500 0.500 0.000 Ag
```